# 1
First-principles (GGA-PBE) data for a relaxed structure of PmHo2SnN4, as listed in Alexandria.

Properties
magnetic moment: 0.000 μB/f.u.
uncorrected energy: -7.294 eV per atom
D(E_F): 4.0 states/eV/cell
formation energy from raw total energies: -0.8930 eV per atom
SG: Cmcm, No. 63

a = 6.142 Å, b = 6.142 Å, c = 12.084 Å
α = 90.00°, β = 90.00°, γ = 146.75°
Fractional coordinates of all 16 atoms:
Pm (0.123, 0.877, 0.750)
Pm (0.877, 0.123, 0.250)
Ho (0.371, 0.629, 0.533)
Ho (0.371, 0.629, 0.967)
Ho (0.629, 0.371, 0.033)
Ho (0.629, 0.371, 0.467)
Sn (0.142, 0.858, 0.250)
Sn (0.858, 0.142, 0.750)
N (0.000, 0.000, 0.000)
N (0.000, 0.000, 0.500)
N (0.263, 0.737, 0.121)
N (0.263, 0.737, 0.379)
N (0.460, 0.540, 0.750)
N (0.540, 0.460, 0.250)
N (0.737, 0.263, 0.621)
N (0.737, 0.263, 0.879)

---

# 2
First-principles (GGA-PBE) data for a relaxed structure of Tb8Sm2Tm, as listed in Alexandria.

Properties
magnetic moment: 0.000 μB/f.u.
uncorrected energy: -4.615 eV per atom
D(E_F): 15.0 states/eV/cell
energy above the most stable polymorph in this dataset: 0 meV/atom
ΔH_f (0 K): 17 meV/atom
SG: C2/m, No. 12

a = 9.429 Å, b = 9.429 Å, c = 7.980 Å
α = 104.76°, β = 104.76°, γ = 31.00°
Fractional coordinates of all 11 atoms:
Tb (0.045, 0.045, 0.228)
Tb (0.135, 0.135, 0.679)
Tb (0.319, 0.319, 0.591)
Tb (0.410, 0.410, 0.047)
Tb (0.590, 0.590, 0.953)
Tb (0.681, 0.681, 0.409)
Tb (0.865, 0.865, 0.321)
Tb (0.955, 0.955, 0.772)
Sm (0.227, 0.227, 0.137)
Sm (0.773, 0.773, 0.863)
Tm (0.500, 0.500, 0.500)

---

# 3
First-principles (GGA-PBE) data for a relaxed structure of NdAlV, as listed in Alexandria.

Properties
magnetic moment: 0.002 μB/f.u.
uncorrected energy: -5.725 eV per atom
D(E_F): 7.5 states/eV/cell
ΔH_f (0 K): 151 meV/atom
SG: Cm, No. 8

a = 5.091 Å, b = 5.091 Å, c = 5.308 Å
α = 100.90°, β = 100.90°, γ = 92.78°
Fractional coordinates of all 6 atoms:
Nd (0.250, 0.750, 0.000)
Nd (0.750, 0.250, 0.000)
Al (0.090, 0.090, 0.564)
Al (0.408, 0.408, 0.436)
V (0.578, 0.920, 0.501)
V (0.920, 0.578, 0.501)

---

# 4
First-principles (GGA-PBE) data for a relaxed structure of NaY2Pt2, as listed in Alexandria.

Properties
magnetic moment: 0.000 μB/f.u.
uncorrected energy: -6.171 eV per atom
D(E_F): 5.6 states/eV/cell
energy above the most stable polymorph in this dataset: 0 meV/atom
ΔH_f (0 K): -905 meV/atom
SG: P4/mbm, No. 127

a = 7.929 Å, b = 7.929 Å, c = 3.690 Å
α = 90.00°, β = 90.00°, γ = 90.00°
Fractional coordinates of all 10 atoms:
Na (0.000, 0.000, 0.000)
Na (0.500, 0.500, 0.000)
Y (0.158, 0.342, 0.500)
Y (0.342, 0.842, 0.500)
Y (0.658, 0.158, 0.500)
Y (0.842, 0.658, 0.500)
Pt (0.135, 0.635, 0.000)
Pt (0.365, 0.135, 0.000)
Pt (0.635, 0.865, 0.000)
Pt (0.865, 0.365, 0.000)

---

# 5
First-principles (GGA-PBE) data for a relaxed structure of TeP3S, as listed in Alexandria.

Properties
magnetic moment: 0.000 μB/f.u.
uncorrected energy: -3.039 eV per atom
D(E_F): 7.6 states/eV/cell
energy above the most stable polymorph in this dataset: 773 meV/atom
formation energy from raw total energies: 1.6611 eV per atom
SG: Pm-3m, No. 221

a = 5.074 Å, b = 5.074 Å, c = 5.074 Å
α = 90.00°, β = 90.00°, γ = 90.00°
Fractional coordinates of all 5 atoms:
Te (0.000, 0.000, 0.000)
P (0.000, 0.000, 0.500)
P (0.000, 0.500, 0.000)
P (0.500, 0.000, 0.000)
S (0.500, 0.500, 0.500)

---

# 6
First-principles (GGA-PBE) data for a relaxed structure of TbNd6Sm2Y, as listed in Alexandria.

Properties
magnetic moment: 0.000 μB/f.u.
uncorrected energy: -4.803 eV per atom
D(E_F): 29.0 states/eV/cell
ΔH_f (0 K): 111 meV/atom
SG: C2/c, No. 15

a = 9.001 Å, b = 9.001 Å, c = 9.833 Å
α = 94.29°, β = 94.29°, γ = 118.28°
Fractional coordinates of all 20 atoms:
Tb (0.023, 0.977, 0.750)
Tb (0.977, 0.023, 0.250)
Nd (0.016, 0.570, 0.687)
Nd (0.119, 0.756, 0.054)
Nd (0.244, 0.881, 0.446)
Nd (0.292, 0.503, 0.880)
Nd (0.430, 0.984, 0.813)
Nd (0.497, 0.708, 0.620)
Nd (0.503, 0.292, 0.380)
Nd (0.570, 0.016, 0.187)
Nd (0.708, 0.497, 0.120)
Nd (0.756, 0.119, 0.554)
Nd (0.881, 0.244, 0.946)
Nd (0.984, 0.430, 0.313)
Sm (0.197, 0.297, 0.543)
Sm (0.297, 0.197, 0.043)
Sm (0.703, 0.803, 0.957)
Sm (0.803, 0.703, 0.457)
Y (0.408, 0.592, 0.250)
Y (0.592, 0.408, 0.750)

---

# 7
First-principles (GGA-PBE) data for a relaxed structure of NaCdPb2, as listed in Alexandria.

Properties
magnetic moment: 0.000 μB/f.u.
uncorrected energy: -2.428 eV per atom
D(E_F): 2.3 states/eV/cell
ΔH_f (0 K): -15 meV/atom
SG: R3m, No. 160

a = 6.221 Å, b = 6.221 Å, c = 6.221 Å
α = 48.76°, β = 48.76°, γ = 48.76°
Fractional coordinates of all 4 atoms:
Na (0.000, 0.000, 0.000)
Cd (0.195, 0.195, 0.195)
Pb (0.577, 0.577, 0.577)
Pb (0.783, 0.783, 0.783)

---

# 8
First-principles (GGA-PBE) data for a relaxed structure of PmMg2GaHg2, as listed in Alexandria.

Properties
magnetic moment: 1.014 μB/f.u.
uncorrected energy: -1.803 eV per atom
D(E_F): 5.2 states/eV/cell
ΔH_f (0 K): 125 meV/atom
SG: I4/mmm, No. 139

a = 10.540 Å, b = 10.540 Å, c = 10.540 Å
α = 156.36°, β = 156.36°, γ = 33.68°
Fractional coordinates of all 6 atoms:
Pm (0.000, 0.000, 0.000)
Mg (0.250, 0.750, 0.500)
Mg (0.750, 0.250, 0.500)
Ga (0.500, 0.500, 0.000)
Hg (0.151, 0.151, 0.000)
Hg (0.849, 0.849, 0.000)

---

# 9
First-principles (GGA-PBE) data for a relaxed structure of TaRe2Mo, as listed in Alexandria.

Properties
magnetic moment: 0.000 μB/f.u.
uncorrected energy: -11.109 eV per atom
D(E_F): 2.3 states/eV/cell
energy above the most stable polymorph in this dataset: 938 meV/atom
ΔH_f (0 K): 786 meV/atom
SG: Immm, No. 71

a = 5.895 Å, b = 5.895 Å, c = 5.895 Å
α = 151.53°, β = 134.50°, γ = 54.55°
Fractional coordinates of all 4 atoms:
Ta (0.000, 0.000, 0.000)
Re (0.270, 0.270, 0.000)
Re (0.730, 0.730, 0.000)
Mo (0.500, 0.500, 0.000)

---

# 10
First-principles (GGA-PBE) data for a relaxed structure of Ce3SmHo2Sb6, as listed in Alexandria.

Properties
magnetic moment: 2.391 μB/f.u.
uncorrected energy: -5.791 eV per atom
D(E_F): 20.2 states/eV/cell
formation energy from raw total energies: -1.0896 eV per atom
SG: C2/m, No. 12

a = 7.712 Å, b = 7.712 Å, c = 7.709 Å
α = 99.60°, β = 99.60°, γ = 120.00°
Fractional coordinates of all 12 atoms:
Ce (0.000, 0.000, 0.000)
Ce (0.335, 0.665, 0.000)
Ce (0.665, 0.335, 0.000)
Sm (0.500, 0.500, 0.500)
Ho (0.167, 0.833, 0.500)
Ho (0.833, 0.167, 0.500)
Sb (0.081, 0.418, 0.255)
Sb (0.244, 0.244, 0.744)
Sb (0.418, 0.081, 0.255)
Sb (0.582, 0.919, 0.745)
Sb (0.756, 0.756, 0.256)
Sb (0.919, 0.582, 0.745)

---

# 11
First-principles (GGA-PBE) data for a relaxed structure of LiTeMo2, as listed in Alexandria.

Properties
magnetic moment: 0.000 μB/f.u.
uncorrected energy: -6.375 eV per atom
D(E_F): 3.9 states/eV/cell
formation energy from raw total energies: 0.3041 eV per atom
SG: Immm, No. 71

a = 5.307 Å, b = 5.307 Å, c = 5.307 Å
α = 142.43°, β = 132.84°, γ = 61.79°
Fractional coordinates of all 4 atoms:
Li (0.000, 0.000, 0.000)
Te (0.500, 0.500, 0.000)
Mo (0.249, 0.749, 0.500)
Mo (0.751, 0.251, 0.500)

---

# 12
First-principles (GGA-PBE) data for a relaxed structure of TiAlAg, as listed in Alexandria.

Properties
magnetic moment: 0.000 μB/f.u.
uncorrected energy: -4.972 eV per atom
D(E_F): 10.9 states/eV/cell
ΔH_f (0 K): -143 meV/atom
SG: Pnma, No. 62

a = 5.945 Å, b = 3.976 Å, c = 8.480 Å
α = 90.00°, β = 90.00°, γ = 90.00°
Fractional coordinates of all 12 atoms:
Ti (0.128, 0.250, 0.084)
Ti (0.372, 0.750, 0.584)
Ti (0.628, 0.250, 0.416)
Ti (0.872, 0.750, 0.916)
Al (0.111, 0.250, 0.746)
Al (0.389, 0.750, 0.246)
Al (0.611, 0.250, 0.754)
Al (0.889, 0.750, 0.254)
Ag (0.131, 0.250, 0.413)
Ag (0.369, 0.750, 0.913)
Ag (0.631, 0.250, 0.087)
Ag (0.869, 0.750, 0.587)